A plane-wave DFT calculation with PBE was carried out for an optimized crystal structure of SrHfSe2.

Results
The formation energy (no corrections) comes out at -1.076 eV per atom. As for the total moment: 0.0 μB/f.u. The calculation puts the total energy at -5.7269 eV/atom. The energy above the most stable polymorph in this dataset comes out at 0 meV per atom. The volume comes out at 30.3 A^3/atom. Its crystal system is trigonal.

Cell lengths 9.634, 9.634, 9.634 Å; angles 23.13, 23.13, 23.13 degrees
Sites, in units of the cell vectors:
1 Sr 0.000 0.000 0.000
2 Hf 0.500 0.500 0.500
3 Se 0.111 0.111 0.111
4 Se 0.889 0.889 0.889